This record from OQMD via LeMat-Bulk describes crystalline ThTlPb2 at its relaxed geometry. The functional is GGA-PBE.

abc: 4.938 4.938 4.794
angles: 90.00 90.00 90.00
Space group P4/mmm (No. 123)
Asymmetric unit:
Th 0.000 0.000 0.000 [1 per cell]
Tl 0.500 0.500 0.000 [1 per cell]
Pb 0.000 0.500 0.500 [2 per cell]

Computed properties:
magnetization = 0.01 μB per formula unit
total DFT energy (no corrections) = -18.08 eV/cell



This record from OQMD via LeMat-Bulk describes crystalline TbHoSi2Pt4 at its relaxed geometry. The functional is GGA-PBE.

abc: 7.112 3.871 10.212
angles: 90.00 90.00 90.00
Space group Amm2 (No. 38)
Asymmetric unit:
Tb 0.000 0.000 0.000 [2 per cell]
Ho 0.500 0.000 0.103 [2 per cell]
Si 0.000 0.000 0.283 [2 per cell]
Si 0.500 0.000 0.821 [2 per cell]
Pt 0.200 0.000 0.695 [4 per cell]
Pt 0.301 0.000 0.409 [4 per cell]

Computed properties:
magnetization = 0.00 μB per formula unit
total DFT energy (no corrections) = -107.12 eV/cell



This record from OQMD via LeMat-Bulk describes crystalline U3Sb4Ir3 at its relaxed geometry. The functional is GGA-PBE.

abc: 9.613 9.613 9.613
angles: 90.00 90.00 90.00
Space group I-43d (No. 220)
Asymmetric unit:
U 0.000 0.250 0.375 [12 per cell]
Sb 0.088 0.088 0.088 [16 per cell]
Ir 0.000 0.250 0.875 [12 per cell]

Computed properties:
magnetization = 3.05 μB per formula unit
total DFT energy (no corrections) = -327.02 eV/cell



This record from OQMD via LeMat-Bulk describes crystalline LaNdH2I4 at its relaxed geometry. The functional is GGA-PBE.

abc: 4.1825 4.1825 16.6073
angles: 90.00 90.00 120.00
Space group P-6m2 (No. 187)
Asymmetric unit:
La 0.0000 0.0000 0.0000 [1 per cell]
Nd 0.0000 0.0000 0.5000 [1 per cell]
H 0.3333 0.6667 0.0000 [1 per cell]
H 0.6667 0.3333 0.5000 [1 per cell]
I 0.3333 0.6667 0.3706 [2 per cell]
I 0.6667 0.3333 0.1324 [2 per cell]

Computed properties:
magnetization = 0.00 μB per formula unit
total DFT energy (no corrections) = -32.76 eV/cell



This record from OQMD via LeMat-Bulk describes crystalline Ta7W5 at its relaxed geometry. The functional is GGA-PBE.

abc: 5.3376 5.3376 17.4646
angles: 90.00 90.00 120.00
Space group P6_3/mmc (No. 194)
Asymmetric unit:
Ta 0.0000 0.0000 0.0981 [4 per cell]
Ta 0.0000 0.5000 0.0000 [6 per cell]
Ta 0.3333 0.6667 0.1268 [4 per cell]
W 0.1623 0.3246 0.2500 [6 per cell]
W 0.3333 0.6667 0.6566 [4 per cell]

Computed properties:
magnetization = 0.00 μB per formula unit
ΔE_f = 258 meV/atom
ΔE to the lowest computed polymorph = 206.2 meV/atom



This record from OQMD via LeMat-Bulk describes crystalline NdHfFe at its relaxed geometry. The functional is GGA-PBE.

abc: 6.570 6.570 6.570
angles: 90.00 90.00 90.00
Space group F-43m (No. 216)
Asymmetric unit:
Nd 0.000 0.000 0.000 [4 per cell]
Hf 0.250 0.250 0.250 [4 per cell]
Fe 0.250 0.250 0.750 [4 per cell]

Computed properties:
magnetization = 1.65 μB per formula unit
ΔE_f = 1291 meV/atom
ΔE to the lowest computed polymorph = 984.2 meV/atom



This record from OQMD via LeMat-Bulk describes crystalline Tc2O5F4 at its relaxed geometry. The functional is GGA-PBE.

abc: 7.795 14.046 5.110
angles: 90.00 90.49 90.00
Space group P2_1/c (No. 14)
Asymmetric unit:
Tc 0.124 0.124 0.178 [4 per cell]
Tc 0.374 0.639 0.981 [4 per cell]
O 0.056 0.593 0.492 [4 per cell]
O 0.142 0.051 0.441 [4 per cell]
O 0.298 0.103 0.989 [4 per cell]
O 0.383 0.587 0.685 [4 per cell]
O 0.394 0.546 0.186 [4 per cell]
F 0.114 0.247 0.776 [4 per cell]
F 0.136 0.656 0.991 [4 per cell]
F 0.350 0.726 0.316 [4 per cell]
F 0.399 0.182 0.495 [4 per cell]

Computed properties:
magnetization = 0.00 μB per formula unit
total DFT energy (no corrections) = -279.30 eV/cell



This record from OQMD via LeMat-Bulk describes crystalline ZrInAgTeSe2 at its relaxed geometry. The functional is GGA-PBE.

abc: 3.953 14.807 10.877
angles: 90.00 90.00 90.00
Space group Cmcm (No. 63)
Asymmetric unit:
Zr 0.000 0.000 0.000 [4 per cell]
In 0.000 0.227 0.250 [4 per cell]
Ag 0.000 0.455 0.750 [4 per cell]
Te 0.000 0.088 0.750 [4 per cell]
Se 0.000 0.373 0.539 [8 per cell]

Computed properties:
magnetization = 0.00 μB per formula unit
total DFT energy (no corrections) = -112.34 eV/cell